A relaxed Al2PdO4 crystal, computed with PBE-GGA.

abc: 5.126 9.662 5.488
angles: 90.00 90.00 90.00
Atoms (fractional coordinates):
Al (0.016, 0.161, 0.060)
Al (0.016, 0.339, 0.560)
Al (0.484, 0.661, 0.060)
Al (0.484, 0.839, 0.560)
Al (0.516, 0.161, 0.440)
Al (0.516, 0.339, 0.940)
Al (0.984, 0.661, 0.440)
Al (0.984, 0.839, 0.940)
Pd (0.000, 0.000, 0.500)
Pd (0.000, 0.500, 0.000)
Pd (0.500, 0.000, 0.000)
Pd (0.500, 0.500, 0.500)
O (0.141, 0.517, 0.657)
O (0.141, 0.983, 0.157)
O (0.200, 0.235, 0.342)
O (0.200, 0.265, 0.842)
O (0.300, 0.735, 0.342)
O (0.300, 0.765, 0.842)
O (0.359, 0.017, 0.657)
O (0.359, 0.483, 0.157)
O (0.641, 0.517, 0.843)
O (0.641, 0.983, 0.343)
O (0.700, 0.235, 0.158)
O (0.700, 0.265, 0.658)
O (0.800, 0.735, 0.158)
O (0.800, 0.765, 0.658)
O (0.859, 0.017, 0.843)
O (0.859, 0.483, 0.343)

DFT total energy = -6.64 eV/atom
Distance to the lowest polymorph of the same formula = 0.0 meV per atom